First-principles (GGA-PBE) data for a relaxed structure of Zr2CoPdN, as listed in the Alexandria database.

For the uncorrected energy, the calculation gives -41.740 eV per formula unit.

The structure belongs to space group P4/mmm (No. 123); the cell edges are 4.4959, 4.4959 and 3.7357 Å and the angles 90.00°, 90.00° and 90.00°. The inequivalent atoms are Zr at (0.0000, 0.5000, 0.0000), Co at (0.0000, 0.0000, 0.5000), Pd at (0.5000, 0.5000, 0.5000) and N at (0.0000, 0.0000, 0.0000).